Ba2GeH2: optimized geometry, PBE.

Lattice parameters (Å, degrees): 3.670 7.364 10.363 122.20 100.20 90.00
Sites, in units of the cell vectors:
H1 0.800 0.451 0.601
Ba1 0.641 0.213 0.283
Ge1 0.000 0.250 0.000
Ba2 0.358 0.287 0.717
H2 0.200 0.549 0.399
H3 0.199 0.049 0.399
Ge2 0.000 0.750 0.000
Ba3 0.642 0.713 0.283
Ba4 0.359 0.787 0.717
H4 0.801 0.951 0.601

Calculated values
* M_tot: 0.00 μB/f.u.
* D(E_F): 2.54 states/eV per cell
* polymorph energy (0 for the lowest one): 0.67 kJ/mol of atoms

---

AsSe2Cl: optimized geometry, PBE.

Lattice parameters (Å, degrees): 3.988 3.556 7.270 90.00 90.00 90.00
Sites, in units of the cell vectors:
Se1 0.000 0.000 0.000
Se2 0.500 0.500 0.000
Cl1 0.000 0.500 0.500
As1 0.500 0.000 0.500

Calculated values
* M_tot: 1.26 μB/f.u.
* D(E_F): 1.35 states/eV per cell
* ΔE_f (raw): 1.4 eV per formula unit
* polymorph energy (0 for the lowest one): 53.75 kJ/mol of atoms

---

Ca2NbC: optimized geometry, PBE.

Lattice parameters (Å, degrees): 9.813 9.813 7.256 47.45 47.45 90.00
Sites, in units of the cell vectors:
Ca1 0.375 0.538 0.750
Ca2 0.462 0.125 0.250
Nb1 0.000 0.000 0.000
C1 0.500 0.500 0.000
Ca3 0.875 0.712 0.750
Ca4 0.288 0.625 0.250
C2 0.250 0.750 0.500
Nb2 0.750 0.250 0.500

Calculated values
* M_tot: 1.01 μB/f.u.
* ΔH_f (0 K): 0.518 eV/atom
* D(E_F): 4.62 states/eV per cell

---

ZrScCu2O: optimized geometry, PBE.

Lattice parameters (Å, degrees): 4.673 5.596 4.673 90.00 90.00 90.00
Sites, in units of the cell vectors:
Sc1 0.000 0.500 0.000
O1 0.500 0.500 0.500
Zr1 0.000 0.000 0.000
Cu1 0.500 0.000 0.000
Cu2 0.000 0.000 0.500

Calculated values
* M_tot: 0.00 μB/f.u.
* D(E_F): 7.14 states/eV per cell
* ΔE_f (raw): 7.2 eV per formula unit

---

Sc2Hg: optimized geometry, PBE.

Lattice parameters (Å, degrees): 5.731 5.731 5.731 106.77 106.77 115.02
Sites, in units of the cell vectors:
Sc1 0.332 0.168 0.500
Sc2 0.168 0.668 0.837
Hg1 0.250 0.250 0.000
Sc3 0.832 0.332 0.163
Sc4 0.668 0.832 0.500
Hg2 0.750 0.750 0.000

Calculated values
* M_tot: 0.80 μB/f.u.
* ΔH_f (0 K): -0.184 eV/atom
* D(E_F): 8.32 states/eV per cell

---

Sm3TmRu: optimized geometry, PBE.

Lattice parameters (Å, degrees): 7.412 7.412 7.412 100.73 119.41 108.83
Sites, in units of the cell vectors:
Tm1 0.555 0.279 0.776
Sm1 0.030 0.243 0.710
Sm2 0.533 0.743 0.713
Tm2 0.503 0.779 0.224
Sm3 0.533 0.320 0.290
Ru1 0.537 0.032 0.005
Ru2 0.027 0.532 0.995
Sm4 0.014 0.284 0.231
Sm5 0.053 0.784 0.769
Sm6 0.030 0.820 0.287

Calculated values
* M_tot: 0.00 μB/f.u.
* ΔH_f (0 K): -0.140 eV/atom
* D(E_F): 11.03 states/eV per cell
* polymorph energy (0 for the lowest one): 0.00 kJ/mol of atoms

---

La4Nd2Ho5: optimized geometry, PBE.

Lattice parameters (Å, degrees): 3.553 8.769 14.672 122.67 96.95 90.00
Sites, in units of the cell vectors:
Ho1 0.500 0.000 0.000
Ho2 0.869 0.787 0.737
La1 0.959 0.259 0.918
La2 0.410 0.518 0.821
La3 0.590 0.482 0.179
Ho3 0.812 0.094 0.624
Nd1 0.726 0.627 0.452
Ho4 0.188 0.906 0.376
La4 0.041 0.741 0.082
Nd2 0.274 0.373 0.548
Ho5 0.131 0.213 0.263

Calculated values
* M_tot: 0.00 μB/f.u.
* ΔH_f (0 K): 0.122 eV/atom
* D(E_F): 17.83 states/eV per cell
* polymorph energy (0 for the lowest one): 2.66 kJ/mol of atoms

---

TaCoW2: optimized geometry, PBE.

Lattice parameters (Å, degrees): 2.722 2.722 8.258 90.00 90.00 90.00
Sites, in units of the cell vectors:
W1 0.500 0.500 0.282
W2 0.000 0.000 0.006
Co1 0.000 0.000 0.491
Ta1 0.500 0.500 0.722

Calculated values
* M_tot: 0.31 μB/f.u.
* ΔH_f (0 K): 0.097 eV/atom
* D(E_F): 3.58 states/eV per cell
* polymorph energy (0 for the lowest one): 6.85 kJ/mol of atoms

---

KRbSn4: optimized geometry, PBE.

Lattice parameters (Å, degrees): 4.709 7.663 7.663 101.73 72.11 72.11
Sites, in units of the cell vectors:
Sn1 0.172 0.122 0.533
Sn2 0.828 0.466 0.878
K1 0.499 0.501 0.501
Rb1 0.500 0.000 0.000
Sn3 0.172 0.533 0.122
Sn4 0.828 0.878 0.466

Calculated values
* M_tot: 0.00 μB/f.u.
* ΔH_f (0 K): -0.153 eV/atom
* D(E_F): 2.60 states/eV per cell
* polymorph energy (0 for the lowest one): 0.00 kJ/mol of atoms

---

NaTlHgBr4: optimized geometry, PBE.

Lattice parameters (Å, degrees): 7.493 7.777 8.830 90.00 106.01 90.00
Sites, in units of the cell vectors:
Br1 0.539 0.250 0.868
Tl1 0.219 0.250 0.049
Hg1 0.752 0.250 0.673
Br2 0.509 0.250 0.392
Br3 0.491 0.750 0.608
Br4 0.461 0.750 0.132
Br5 0.006 0.505 0.727
Br6 0.994 0.005 0.273
Br7 0.006 0.995 0.727
Na1 0.783 0.750 0.439
Tl2 0.781 0.750 0.951
Br8 0.994 0.495 0.273
Na2 0.217 0.250 0.561
Hg2 0.248 0.750 0.327

Calculated values
* M_tot: 0.00 μB/f.u.
* D(E_F): 0.00 states/eV per cell
* ΔE_f (raw): -6.0 eV per formula unit

---

Nd5Sm4Ho: optimized geometry, PBE.

Lattice parameters (Å, degrees): 6.220 8.110 8.110 81.54 67.45 67.45
Sites, in units of the cell vectors:
Sm1 0.761 0.675 0.675
Nd1 0.153 0.000 0.622
Nd2 0.689 0.000 0.000
Sm2 0.111 0.325 0.325
Nd3 0.775 0.378 0.000
Nd4 0.774 0.000 0.378
Sm3 0.436 0.325 0.675
Sm4 0.436 0.675 0.325
Ho1 0.224 0.000 0.000
Nd5 0.152 0.622 0.000

Calculated values
* M_tot: 0.00 μB/f.u.
* ΔH_f (0 K): 0.237 eV/atom
* D(E_F): 14.95 states/eV per cell
* polymorph energy (0 for the lowest one): 21.53 kJ/mol of atoms

---

SrBr3Cl: optimized geometry, PBE.

Lattice parameters (Å, degrees): 5.526 5.526 5.526 90.00 90.00 90.00
Sites, in units of the cell vectors:
Br1 0.500 0.000 0.000
Sr1 0.500 0.500 0.500
Br2 0.000 0.000 0.500
Cl1 0.000 0.000 0.000
Br3 0.000 0.500 0.000

Calculated values
* M_tot: 1.04 μB/f.u.
* D(E_F): 1.40 states/eV per cell
* ΔE_f (raw): -3.2 eV per formula unit

---

CsLi2Ge: optimized geometry, PBE.

Lattice parameters (Å, degrees): 5.938 5.938 9.301 71.38 71.38 90.00
Sites, in units of the cell vectors:
Li1 0.375 0.625 0.750
Cs1 0.750 0.250 0.500
Ge1 0.250 0.750 0.500
Ge2 0.500 0.500 0.000
Li2 0.375 0.625 0.250
Li3 0.375 0.125 0.250
Li4 0.875 0.625 0.750
Cs2 0.000 0.000 0.000

Calculated values
* M_tot: 1.00 μB/f.u.
* ΔH_f (0 K): 0.048 eV/atom
* D(E_F): 5.11 states/eV per cell

---

Ni6B2Pd: optimized geometry, PBE.

Lattice parameters (Å, degrees): 2.573 6.188 6.188 93.10 77.99 77.99
Sites, in units of the cell vectors:
Ni1 0.251 0.382 0.117
Pd1 0.000 0.000 0.000
Ni2 0.251 0.117 0.382
Ni3 0.500 0.701 0.299
B1 0.617 0.383 0.383
Ni4 0.500 0.299 0.701
Ni5 0.749 0.618 0.883
B2 0.383 0.617 0.617
Ni6 0.749 0.883 0.618

Calculated values
* M_tot: 0.00 μB/f.u.
* ΔH_f (0 K): -0.075 eV/atom
* D(E_F): 8.87 states/eV per cell

---

NdSm4Tm3: optimized geometry, PBE.

Lattice parameters (Å, degrees): 6.297 7.299 11.453 90.00 90.00 90.00
Sites, in units of the cell vectors:
Sm1 0.482 0.874 0.246
Tm1 0.981 0.622 0.750
Sm2 0.982 0.126 0.254
Nd1 0.148 0.375 0.000
Tm2 0.648 0.622 0.000
Tm3 0.481 0.378 0.750
Sm3 0.643 0.129 0.500
Sm4 0.982 0.126 0.746
Tm4 0.148 0.378 0.500
Sm5 0.143 0.871 0.000
Sm6 0.482 0.874 0.754
Sm7 0.151 0.872 0.500
Nd2 0.648 0.625 0.500
Tm5 0.981 0.622 0.250
Tm6 0.481 0.378 0.250
Sm8 0.651 0.128 0.000

Calculated values
* M_tot: 0.00 μB/f.u.
* ΔH_f (0 K): 0.023 eV/atom
* D(E_F): 27.91 states/eV per cell
* polymorph energy (0 for the lowest one): 0.00 kJ/mol of atoms

---

HfTcTe2S: optimized geometry, PBE.

Lattice parameters (Å, degrees): 5.241 4.285 5.241 90.00 90.00 90.00
Sites, in units of the cell vectors:
Hf1 0.500 0.500 0.500
Tc1 0.000 0.500 0.000
Te1 0.000 0.000 0.500
S1 0.000 0.000 0.000
Te2 0.500 0.000 0.000

Calculated values
* M_tot: 0.00 μB/f.u.
* D(E_F): 4.49 states/eV per cell
* ΔE_f (raw): 3.6 eV per formula unit

---

Ho2Tm5Mg5: optimized geometry, PBE.

Lattice parameters (Å, degrees): 5.226 6.557 11.204 108.33 90.00 113.48
Sites, in units of the cell vectors:
Tm1 0.397 0.795 0.746
Tm2 0.342 0.685 0.015
Ho1 0.090 0.179 0.742
Tm3 0.500 0.000 0.500
Tm4 0.658 0.315 0.985
Mg1 0.000 0.000 0.000
Mg2 0.243 0.486 0.237
Ho2 0.910 0.821 0.258
Mg3 0.827 0.653 0.524
Tm5 0.603 0.205 0.254
Mg4 0.757 0.514 0.763
Mg5 0.173 0.347 0.476

Calculated values
* M_tot: 0.00 μB/f.u.
* ΔH_f (0 K): 0.017 eV/atom
* D(E_F): 13.95 states/eV per cell

---

Li5GeAs3: optimized geometry, PBE.

Lattice parameters (Å, degrees): 7.406 7.406 8.900 72.84 72.84 49.28
Sites, in units of the cell vectors:
Li1 0.766 0.239 0.256
As1 0.682 0.659 0.658
As2 0.987 0.005 0.004
Li2 0.925 0.429 0.407
Li3 0.900 0.421 0.921
Li4 0.239 0.766 0.756
Li5 0.250 0.744 0.250
Ge1 0.026 0.640 0.627
As3 0.659 0.682 0.158
Li6 0.429 0.925 0.907
Li7 0.105 0.560 0.066
Ge2 0.640 0.026 0.127
Li8 0.560 0.105 0.566
As4 0.315 0.353 0.807
As5 0.005 0.987 0.504
Li9 0.744 0.250 0.750
Li10 0.421 0.900 0.421
As6 0.353 0.315 0.307

Calculated values
* M_tot: 0.00 μB/f.u.
* ΔH_f (0 K): -0.526 eV/atom

---

HoCdSnRh: optimized geometry, PBE.

Lattice parameters (Å, degrees): 4.877 4.877 4.877 60.00 60.00 60.00
Sites, in units of the cell vectors:
Sn1 0.000 0.000 0.000
Cd1 0.750 0.750 0.750
Rh1 0.250 0.250 0.250
Ho1 0.500 0.500 0.500

Calculated values
* M_tot: 0.00 μB/f.u.
* ΔH_f (0 K): -0.432 eV/atom
* D(E_F): 2.51 states/eV per cell

---

MgIn2Si: optimized geometry, PBE.

Lattice parameters (Å, degrees): 4.446 4.444 4.457 90.00 90.00 90.00
Sites, in units of the cell vectors:
Mg1 0.500 0.000 0.500
In1 0.500 0.500 0.000
In2 0.000 0.000 0.000
Si1 0.000 0.500 0.500

Calculated values
* M_tot: 0.00 μB/f.u.
* D(E_F): 1.13 states/eV per cell
* ΔE_f (raw): 0.6 eV per formula unit
* polymorph energy (0 for the lowest one): 4.04 kJ/mol of atoms

---

La4PmN5: optimized geometry, PBE.

Lattice parameters (Å, degrees): 3.717 3.717 13.499 97.91 97.91 90.00
Sites, in units of the cell vectors:
La1 0.597 0.597 0.194
N1 0.500 0.500 0.000
N2 0.905 0.905 0.809
Pm1 0.000 0.000 0.000
N3 0.095 0.095 0.191
La2 0.403 0.403 0.806
La3 0.800 0.800 0.599
La4 0.200 0.200 0.401
N4 0.702 0.702 0.405
N5 0.298 0.298 0.595

Calculated values
* M_tot: 0.00 μB/f.u.
* D(E_F): 0.99 states/eV per cell
* ΔE_f (raw): -13.3 eV per formula unit
* polymorph energy (0 for the lowest one): 1.06 kJ/mol of atoms

---

LaZr2Ga2: optimized geometry, PBE.

Lattice parameters (Å, degrees): 6.435 6.435 6.435 135.77 135.77 64.33
Sites, in units of the cell vectors:
Zr1 0.643 0.643 0.000
Ga1 0.750 0.250 0.500
La1 0.000 0.000 0.000
Ga2 0.250 0.750 0.500
Zr2 0.357 0.357 0.000

Calculated values
* M_tot: 0.00 μB/f.u.
* ΔH_f (0 K): -0.128 eV/atom
* D(E_F): 4.72 states/eV per cell
* polymorph energy (0 for the lowest one): 29.62 kJ/mol of atoms

---

TiBH: optimized geometry, PBE.

Lattice parameters (Å, degrees): 5.823 3.034 6.161 69.22 29.16 81.62
Sites, in units of the cell vectors:
Ti1 0.641 0.359 0.641
Ti2 0.359 0.641 0.359
B1 0.833 0.167 0.167
H1 0.750 0.750 0.750
B2 0.167 0.833 0.833
H2 0.250 0.250 0.250

Calculated values
* M_tot: 0.00 μB/f.u.
* D(E_F): 1.41 states/eV per cell
* polymorph energy (0 for the lowest one): 0.00 kJ/mol of atoms

---

TiH2Rh: optimized geometry, PBE.

Lattice parameters (Å, degrees): 2.958 2.958 5.194 73.45 73.45 60.00
Sites, in units of the cell vectors:
H1 0.072 0.072 0.785
H2 0.230 0.230 0.311
Rh1 0.695 0.695 0.915
Ti1 0.504 0.504 0.489

Calculated values
* M_tot: 0.00 μB/f.u.
* D(E_F): 2.07 states/eV per cell
* polymorph energy (0 for the lowest one): 11.29 kJ/mol of atoms